The following is a DFT calculation (GGA-PBE) of a geometry-optimized Tl6Hg5Au5 structure.

The space group is Amm2 (No. 38) and the conventional cell measures 5.5083, 16.5315 and 9.2882 Å, with angles of 90.00, 90.00 and 90.00 degrees. The inequivalent atoms are Tl at (0.0000, 0.0000, 0.0000), Tl at (0.0000, 0.1811, 0.3520), Tl at (0.5000, 0.0000, 0.1703), Tl at (0.5000, 0.2001, 0.7564), Hg at (0.0000, 0.0957, 0.6742), Hg at (0.5000, 0.0000, 0.7938), Hg at (0.5000, 0.0953, 0.4674), Au at (0.0000, 0.0000, 0.3579) and Au at (0.2493, 0.1774, 0.0507).

The density of states at the Fermi level comes out at 0.354 states/eV/atom. Its density is 12.6 g/cm³. For the total energy, the calculation gives -1.9731 eV/atom. The calculation puts the formation energy at 0.76 kcal/mol of atoms.

The following is a DFT calculation (GGA-PBE) of a geometry-optimized La2TbRh2I2 structure.

The space group is I4/mmm (No. 139) and the conventional cell measures 5.1444, 5.1444 and 16.9417 Å, with angles of 90.00, 90.00 and 90.00 degrees. The inequivalent atoms are La at (0.0000, 0.0000, 0.1056), Tb at (0.0000, 0.0000, 0.5000), Rh at (0.0000, 0.5000, 0.0000) and I at (0.0000, 0.0000, 0.3090).

The density of states at the Fermi level comes out at 0.663 states/eV/atom. Its density is 6.6 g/cm³. For the total energy, the calculation gives -5.4072 eV/atom. The value obtained for the formation energy without anion corrections is -795 meV/atom.

The following is a DFT calculation (GGA-PBE) of a geometry-optimized Nd2Dy6Y3 structure.

The space group is I4/mmm (No. 139) and the conventional cell measures 4.7579, 4.7579 and 33.1904 Å, with angles of 90.00, 90.00 and 90.00 degrees. The inequivalent atoms are Nd at (0.0000, 0.0000, 0.0462), Dy at (0.0000, 0.0000, 0.1935), Dy at (0.0000, 0.5000, 0.1212), Y at (0.0000, 0.0000, 0.2973) and Y at (0.0000, 0.0000, 0.5000).

Its relative energy among the computed polymorphs is 0.078 eV/atom. The density of states at the Fermi level comes out at 1.499 states/eV/atom. Its density is 6.8 g/cm³. For the total energy, the calculation gives -4.8773 eV/atom. The calculation puts the formation energy at 6.06 kcal/mol of atoms.

The following is a DFT calculation (GGA-PBE) of a geometry-optimized LiCaSe structure.

The space group is Fmm2 (No. 42) and the conventional cell measures 5.1498, 5.1575 and 10.7970 Å, with angles of 90.00, 90.00 and 90.00 degrees. The inequivalent atoms are Li at (0.0000, 0.0000, 0.0000), Ca at (0.0000, 0.0000, 0.7338) and Se at (0.0000, 0.0000, 0.3871).

Its relative energy among the computed polymorphs is 0.200 eV/atom. The density of states at the Fermi level comes out at 0.416 states/eV/atom. Its density is 2.9 g/cm³. For the total energy, the calculation gives -3.3981 eV/atom. The value obtained for the formation energy without anion corrections is -931 meV/atom.

The following is a DFT calculation (GGA-PBE) of a geometry-optimized Ac8La3Mg structure.

The space group is Cm (No. 8) and the conventional cell measures 18.2664, 6.2205 and 10.6038 Å, with angles of 90.00, 123.25 and 90.00 degrees. The inequivalent atoms are Ac at (0.0000, 0.0000, 0.0000), Ac at (0.0129, 0.5000, 0.5592), Ac at (0.1189, 0.5000, 0.0040), Ac at (0.1768, 0.0000, 0.8589), Ac at (0.2507, 0.5000, 0.7313), Ac at (0.3639, 0.0000, 0.7227), Ac at (0.3980, 0.5000, 0.5550), Ac at (0.4506, 0.0000, 0.1548), La at (0.1039, 0.0000, 0.4342), La at (0.2572, 0.0000, 0.2829), La at (0.3510, 0.5000, 0.1637) and Mg at (0.1750, 0.5000, 0.3622).

The density of states at the Fermi level comes out at 1.589 states/eV/atom. Its density is 7.4 g/cm³. For the total energy, the calculation gives -4.0399 eV/atom. The calculation puts the formation energy at 1.47 kcal/mol of atoms.

The following is a DFT calculation (GGA-PBE) of a geometry-optimized SiAsRh structure.

The space group is Imm2 (No. 44) and the conventional cell measures 3.3334, 3.4443 and 8.0640 Å, with angles of 90.00, 90.00 and 90.00 degrees. The inequivalent atoms are Si at (0.0000, 0.0000, 0.0000), As at (0.0000, 0.0000, 0.3247) and Rh at (0.0000, 0.0000, 0.6503).

Its relative energy among the computed polymorphs is 0.427 eV/atom. The density of states at the Fermi level comes out at 0.513 states/eV/atom. Its density is 7.4 g/cm³. For the total energy, the calculation gives -5.8490 eV/atom. The value obtained for the formation energy without anion corrections is -41 meV/atom.

The following is a DFT calculation (GGA-PBE) of a geometry-optimized Nd2ScNi structure.

The space group is R-3m (No. 166, hexagonal axes) and the conventional cell measures 3.5802, 3.5802 and 30.7798 Å, with angles of 90.00, 90.00 and 120.00 degrees. The inequivalent atoms are Nd at (0.0000, 0.0000, 0.1069), Sc at (0.0000, 0.0000, 0.0000) and Ni at (0.0000, 0.0000, 0.5000).

Its relative energy among the computed polymorphs is 0.265 eV/atom. The density of states at the Fermi level comes out at 1.369 states/eV/atom. Its density is 5.7 g/cm³. For the total energy, the calculation gives -5.1955 eV/atom. The calculation puts the formation energy at 5.00 kcal/mol of atoms.

The following is a DFT calculation (GGA-PBE) of a geometry-optimized AcTbPmEr structure.

The space group is F-43m (No. 216) and the conventional cell measures 8.2803, 8.2803 and 8.2803 Å, with angles of 90.00, 90.00 and 90.00 degrees. The inequivalent atoms are Ac at (0.0000, 0.0000, 0.0000), Tb at (0.2500, 0.2500, 0.2500), Pm at (0.0000, 0.0000, 0.5000) and Er at (0.2500, 0.2500, 0.7500).

Its relative energy among the computed polymorphs is 0.065 eV/atom. The density of states at the Fermi level comes out at 1.835 states/eV/atom. Its density is 8.2 g/cm³. For the total energy, the calculation gives -4.3944 eV/atom. The calculation puts the formation energy at 2.74 kcal/mol of atoms.

The following is a DFT calculation (GGA-PBE) of a geometry-optimized Dy2ErSn9 structure.

The space group is P4/mmm (No. 123) and the conventional cell measures 4.7889, 4.7889 and 13.6634 Å, with angles of 90.00, 90.00 and 90.00 degrees. The inequivalent atoms are Dy at (0.0000, 0.0000, 0.1667), Er at (0.0000, 0.0000, 0.5000), Sn at (0.0000, 0.5000, 0.0000), Sn at (0.0000, 0.5000, 0.3342), Sn at (0.5000, 0.5000, 0.1672) and Sn at (0.5000, 0.5000, 0.5000).

The density of states at the Fermi level comes out at 0.417 states/eV/atom. Its density is 8.3 g/cm³. For the total energy, the calculation gives -4.5599 eV/atom. The calculation puts the formation energy at -9.47 kcal/mol of atoms.

The following is a DFT calculation (GGA-PBE) of a geometry-optimized CoNiSb3 structure.

The space group is Pm-3m (No. 221) and the conventional cell measures 4.8661, 4.8661 and 4.8661 Å, with angles of 90.00, 90.00 and 90.00 degrees. The inequivalent atoms are Co at (0.0000, 0.0000, 0.0000), Ni at (0.5000, 0.5000, 0.5000) and Sb at (0.0000, 0.0000, 0.5000).

Its relative energy among the computed polymorphs is 0.000 eV/atom. The density of states at the Fermi level comes out at 0.256 states/eV/atom. Its density is 7.0 g/cm³. For the total energy, the calculation gives -4.4227 eV/atom. The value obtained for the formation energy without anion corrections is 628 meV/atom.

The following is a DFT calculation (GGA-PBE) of a geometry-optimized SmHoSc2Sb4 structure.

The space group is P2/m (No. 10) and the conventional cell measures 7.4248, 4.3000 and 7.4441 Å, with angles of 90.00, 109.53 and 90.00 degrees. The inequivalent atoms are Sm at (0.0000, 0.0000, 0.0000), Ho at (0.0000, 0.5000, 0.5000), Sc at (0.5000, 0.0000, 0.5000), Sc at (0.5000, 0.5000, 0.0000), Sb at (0.2660, 0.0000, 0.7521) and Sb at (0.2684, 0.5000, 0.2593).

The density of states at the Fermi level comes out at 0.166 states/eV/atom. Its density is 6.6 g/cm³. For the total energy, the calculation gives -5.8371 eV/atom. The value obtained for the formation energy without anion corrections is -1031 meV/atom.

The following is a DFT calculation (GGA-PBE) of a geometry-optimized MgCu2Se4 structure.

The space group is I4/mmm (No. 139) and the conventional cell measures 7.2570, 7.2570 and 5.3764 Å, with angles of 90.00, 90.00 and 90.00 degrees. The inequivalent atoms are Mg at (0.0000, 0.0000, 0.0000), Cu at (0.0000, 0.5000, 0.2500) and Se at (0.2456, 0.2456, 0.5000).

Its relative energy among the computed polymorphs is 0.145 eV/atom. The density of states at the Fermi level comes out at 0.390 states/eV/atom. Its density is 5.5 g/cm³. For the total energy, the calculation gives -3.4605 eV/atom. The value obtained for the formation energy without anion corrections is -71 meV/atom.

Copy entry 4 word for word.
The following is a DFT calculation (GGA-PBE) of a geometry-optimized LiCaSe structure.

The space group is Fmm2 (No. 42) and the conventional cell measures 5.1498, 5.1575 and 10.7970 Å, with angles of 90.00, 90.00 and 90.00 degrees. The inequivalent atoms are Li at (0.0000, 0.0000, 0.0000), Ca at (0.0000, 0.0000, 0.7338) and Se at (0.0000, 0.0000, 0.3871).

Its relative energy among the computed polymorphs is 0.200 eV/atom. The density of states at the Fermi level comes out at 0.416 states/eV/atom. Its density is 2.9 g/cm³. For the total energy, the calculation gives -3.3981 eV/atom. The value obtained for the formation energy without anion corrections is -931 meV/atom.

> Look up the density of the eighth one.

8.2 g/cm³

> density of number 4 (LiCaSe)?

2.9 g/cm³